A relaxed KGaAu2N crystal. Source: Alexandria, functional PBE-GGA.

The structure in CIF format:
```
data_KGaAu2N
_space_group_name_H-M_alt 'P 4/m m m'
_space_group_IT_number 123
_space_group_name_Hall '-P 4 2'
_cell_length_a 5.280
_cell_length_b 5.280
_cell_length_c 3.875
_cell_angle_alpha 90.00
_cell_angle_beta 90.00
_cell_angle_gamma 90.00
loop_
_atom_site_label
_atom_site_type_symbol
_atom_site_fract_x
_atom_site_fract_y
_atom_site_fract_z
K1 K 0.000 0.000 0.000
Ga1 Ga 0.500 0.500 0.500
Au1 Au 0.000 0.500 0.500
N1 N 0.500 0.500 0.000
```

Properties
* D(E_F): 0.55 states/eV/atom
* formation energy (no corrections): 0.394 eV per atom
* E_tot: -3.407 eV/atom
* mass density: 7.94 g/cm³